Entry 1:
# ZrPbS2O8

A relaxed structure of ZrPbS2O8 (PBE-GGA, Alexandria).

Calculated values
As for the crystal system: monoclinic. The volume is 15.451 Å³ per atom. As for the total energy: -6.540 eV/atom. As for the theoretical density: 4.4 g/cm³. The uncorrected formation energy is -1.53 eV/atom.

Cell and atoms, written as CIF:
```
data_ZrPbS2O8
_chemical_formula_sum 'Zr2 Pb2 S4 O16'
_space_group_name_H-M_alt 'C 1 2/m 1'
_space_group_IT_number 12
_space_group_name_Hall '-C 2y'
_cell_length_a 9.4089
_cell_length_b 6.0633
_cell_length_c 6.5089
_cell_angle_alpha 90.00
_cell_angle_beta 92.98
_cell_angle_gamma 90.00
loop_
_atom_site_label
_atom_site_fract_x
_atom_site_fract_y
_atom_site_fract_z
Zr1 0.0000 0.0000 0.0000
Pb1 0.0000 0.0000 0.5000
S1 0.1633 0.5000 0.2217
O1 0.0724 0.2992 0.1897
O2 0.2248 0.0000 0.9338
O3 0.2248 0.5000 0.4337
```



Entry 2:
# SbPbO2

A relaxed structure of SbPbO2 (PBE-GGA, Alexandria).

Calculated values
The value obtained for the excess energy over the best structure of this formula in the dataset is 0.0 kJ/mol of formula units. As for the crystal system: monoclinic. The volume is 21.457 Å³ per atom. As for the total energy: -5.421 eV/atom. As for the theoretical density: 7.0 g/cm³. The uncorrected formation energy is -0.98 eV/atom.

Cell and atoms, written as CIF:
```
data_SbPbO2
_chemical_formula_sum 'Sb2 Pb2 O4'
_space_group_name_H-M_alt 'P 1 21/m 1'
_space_group_IT_number 11
_space_group_name_Hall '-P 2yb'
_cell_length_a 3.7518
_cell_length_b 6.3150
_cell_length_c 7.4644
_cell_angle_alpha 90.00
_cell_angle_beta 103.92
_cell_angle_gamma 90.00
loop_
_atom_site_label
_atom_site_fract_x
_atom_site_fract_y
_atom_site_fract_z
Sb1 0.0773 0.2500 0.1382
Pb1 0.3103 0.2500 0.6251
O1 0.1703 0.0292 0.3321
```



Entry 3:
# Sb2PbO4

A relaxed structure of Sb2PbO4 (PBE-GGA, Alexandria).

Calculated values
As for the crystal system: monoclinic. The volume is 19.470 Å³ per atom. As for the total energy: -5.776 eV/atom. As for the theoretical density: 6.3 g/cm³. The uncorrected formation energy is -1.24 eV/atom.

Cell and atoms, written as CIF:
```
data_Sb2PbO4
_chemical_formula_sum 'Sb8 Pb4 O16'
_space_group_name_H-M_alt 'C 1 2 1'
_space_group_IT_number 5
_space_group_name_Hall 'C 2y'
_cell_length_a 10.3469
_cell_length_b 9.8759
_cell_length_c 7.2996
_cell_angle_alpha 90.00
_cell_angle_beta 133.04
_cell_angle_gamma 90.00
loop_
_atom_site_label
_atom_site_fract_x
_atom_site_fract_y
_atom_site_fract_z
Sb1 0.0202 0.0000 0.2589
Sb2 0.2101 0.3154 0.2093
Pb1 0.0000 0.4579 0.5000
Pb2 0.0000 0.7089 0.0000
O1 0.0335 0.3719 0.8491
O2 0.0786 0.8161 0.7778
O3 0.1859 0.9012 0.2515
O4 0.1967 0.0028 0.6401
```



Entry 4:
# SbPbO2

A relaxed structure of SbPbO2 (PBE-GGA, Alexandria).

Calculated values
The value obtained for the excess energy over the best structure of this formula in the dataset is 269.9 kJ/mol of formula units. As for the crystal system: cubic. The volume is 15.930 Å³ per atom. As for the total energy: -4.722 eV/atom. As for the theoretical density: 9.4 g/cm³. The uncorrected formation energy is -0.28 eV/atom.

Cell and atoms, written as CIF:
```
data_SbPbO2
_chemical_formula_sum 'Sb4 Pb4 O8'
_space_group_name_H-M_alt 'F m -3 m'
_space_group_IT_number 225
_space_group_name_Hall '-F 4 2 3'
_cell_length_a 6.3403
_cell_length_b 6.3403
_cell_length_c 6.3403
_cell_angle_alpha 90.00
_cell_angle_beta 90.00
_cell_angle_gamma 90.00
loop_
_atom_site_label
_atom_site_fract_x
_atom_site_fract_y
_atom_site_fract_z
Sb1 0.0000 0.0000 0.0000
Pb1 0.0000 0.0000 0.5000
O1 0.2500 0.2500 0.2500
```